1.
9
Lattice="-0.375 -3.006 3.348 0.421 -1.414 -4.267 35.368 -0.391 3.615" Properties=species:S:1:pos:R:3 comment="K2Rb4Sr2Ca, optimized geometry, DFT PBE" sg=P3m1 e_form_mev_per_atom=84 pbc="T T T"
K 35.195 -0.389 3.598
K 22.519 -2.725 3.123
Rb 18.517 -0.205 1.893
Rb 3.842 -2.519 1.213
Rb 30.953 -2.818 3.985
Rb 26.753 -0.296 2.735
Sr 14.498 -2.637 2.303
Sr 8.210 -2.567 1.660
Ca 11.459 -0.127 1.171

2.
4
Lattice="-1.582 0.088 3.190 1.563 -1.540 2.806 5.908 10.322 4.634" Properties=species:S:1:pos:R:3 comment="BaPm2Zr, optimized geometry, DFT PBE" sg=R-3m e_form_mev_per_atom=279 pbc="T T T"
Ba 0.000 0.000 0.000
Zr 2.945 4.435 5.315
Pm 4.185 7.173 3.866
Pm 1.705 1.697 6.764

3.
16
Lattice="4.337 0.000 0.000 0.000 5.872 0.000 0.000 0.000 11.805" Properties=species:S:1:pos:R:3 comment="Cd5AgPd2, optimized geometry, DFT PBE" sg=Pbam e_form_mev_per_atom=-225 pbc="T T T"
Cd 2.168 1.655 1.395
Cd 2.168 4.217 10.410
Cd 2.168 4.592 4.507
Cd 2.168 1.281 7.298
Cd 0.000 5.642 8.799
Cd 0.000 0.230 3.007
Cd 0.000 2.706 8.910
Cd 0.000 3.166 2.896
Cd 0.000 2.936 5.903
Cd 0.000 0.000 0.000
Ag 0.000 0.000 5.903
Ag 0.000 2.936 0.000
Pd 2.168 1.672 4.367
Pd 2.168 4.200 7.438
Pd 2.168 1.264 10.270
Pd 2.168 4.608 1.535

4.
18
Lattice="1.954 -8.288 0.000 1.954 8.288 0.000 0.000 0.000 10.961" Properties=species:S:1:pos:R:3 comment="Ce2Fe2S5, optimized geometry, DFT PBE" sg=Cmc2_1 e_form_raw_kj_per_mol_fu=-1036 relative_energy_ev_per_atom=0.058 pbc="T T T"
Ce 1.954 1.868 6.079
Ce 1.954 -1.868 0.598
Ce 1.954 1.910 10.374
Ce 1.954 -1.910 4.894
Fe 1.954 3.863 8.272
Fe 1.954 -3.863 2.792
Fe 1.954 6.698 8.126
Fe 1.954 -6.698 2.646
S 1.954 5.053 6.428
S 1.954 -5.053 0.947
S 1.954 5.178 10.032
S 1.954 -5.178 4.552
S 1.954 -5.650 8.268
S 1.954 5.650 2.787
S 1.954 8.108 6.058
S 1.954 -8.108 0.577
S 1.954 -0.511 8.859
S 1.954 0.511 3.378

5.
11
Lattice="-1.584 3.189 2.097 -0.327 -0.191 4.115 18.210 9.132 3.945" Properties=species:S:1:pos:R:3 comment="Pm3Pa2Se6, optimized geometry, DFT PBE" sg=R-3m e_form_raw_kj_per_mol_fu=-1676 pbc="T T T"
Pm 0.000 0.000 0.000
Pm 2.617 2.404 2.394
Pm 13.682 9.726 7.762
Pa 11.269 7.411 5.388
Pa 5.030 4.719 4.768
Se 13.414 7.062 3.468
Se 2.885 5.068 6.689
Se 7.110 4.342 2.841
Se 9.189 7.788 7.315
Se 15.975 9.441 5.856
Se 0.324 2.689 4.300

6.
5
Lattice="-0.523 3.893 -0.104 -4.704 -0.698 -2.469 -1.807 -0.150 3.486" Properties=species:S:1:pos:R:3 comment="TlGeIrO2, optimized geometry, DFT PBE" sg=P4/mmm e_form_raw_kj_per_mol_fu=-75 pbc="T T T"
Tl -3.517 1.522 0.457
Ir 0.000 0.000 0.000
Ge -2.352 -0.349 -1.234
O -0.904 -0.075 1.743
O -0.262 1.947 -0.052

The records above give, respectively, DOS(E_F) values of 1.112 1.451 0.289 1.024 1.126 0.894 states/eV/atom.
The records above give, respectively, total magnetization values of 0.00 0.00 0.00 11.33 1.39 0.00 μB per cell.